(1)
{
  "formula": "PrNd2Sm6Dy3",
  "functional": "PBE",
  "state": "optimized geometry",
  "lattice": [[-1.6816, 4.3172, -4.2378], [-4.3637, -3.6282, 2.6867], [0.7079, 7.7397, 9.1549]],
  "species": ["Dy", "Dy", "Dy", "Sm", "Sm", "Sm", "Sm", "Sm", "Sm", "Nd", "Nd", "Pr"],
  "frac_coords": [[0.5000, 0.5000, 0.5000], [0.1668, 0.8332, 0.5000], [0.8332, 0.1668, 0.5000], [0.0849, 0.4185, 0.2542], [0.9151, 0.5815, 0.7458], [0.2486, 0.2486, 0.7458], [0.5815, 0.9151, 0.7458], [0.4185, 0.0849, 0.2542], [0.7514, 0.7514, 0.2542], [0.6666, 0.3334, 0.0000], [0.3334, 0.6666, 0.0000], [0.0000, 0.0000, 0.0000]],
  "delta_e_f_ev_per_atom": 0.02,
  "space_group": "C2/m, No. 12",
  "dos_ef_per_ev_fu": 16.8
}

=====

(2)
{
  "formula": "CsMgV",
  "functional": "PBE",
  "state": "optimized geometry",
  "lattice": [[-1.1073, -2.6337, 4.8359], [-2.6139, -4.0901, -2.8261], [5.6042, -3.2465, -0.4848]],
  "species": ["V", "V", "Mg", "Mg", "Cs", "Cs"],
  "frac_coords": [[0.0000, 0.5000, 0.5012], [0.5000, 0.0000, 0.4988], [0.0000, 0.0000, 0.5000], [0.5000, 0.5000, 0.5000], [0.5000, 0.0000, 0.9982], [0.0000, 0.5000, 0.0018]],
  "delta_e_f_ev_per_atom": 0.98,
  "space_group": "P4/nmm, No. 129",
  "dos_ef_per_ev_fu": 3.6,
  "polymorph_energy_mev_per_atom": 485
}

=====

(3)
{
  "formula": "CsBPPd2",
  "functional": "PBE",
  "state": "optimized geometry",
  "lattice": [[4.9650, 0.0000, 0.0000], [0.0000, 4.0341, 0.0000], [0.0000, 0.0000, 4.9650]],
  "species": ["Pd", "Pd", "B", "P", "Cs"],
  "frac_coords": [[0.5000, 0.0000, 0.0000], [0.0000, 0.0000, 0.5000], [0.0000, 0.5000, 0.0000], [0.0000, 0.0000, 0.0000], [0.5000, 0.5000, 0.5000]],
  "delta_e_f_ev_per_atom": 0.46,
  "space_group": "P4/mmm, No. 123",
  "dos_ef_per_ev_fu": 1.5
}

=====

(4)
{
  "formula": "HgPOs2",
  "functional": "PBE",
  "state": "optimized geometry",
  "lattice": [[2.8981, 0.0000, 0.0000], [0.0000, 4.5149, 0.0000], [0.0000, 0.0000, 4.9040]],
  "species": ["Os", "Os", "P", "Hg"],
  "frac_coords": [[0.0000, 0.0000, 0.0000], [0.5000, 0.0000, 0.5000], [0.5000, 0.5000, 0.0000], [0.0000, 0.5000, 0.5000]],
  "delta_e_f_ev_per_atom": 1.05,
  "space_group": "Pmmm, No. 47",
  "dos_ef_per_ev_fu": 3.4,
  "polymorph_energy_mev_per_atom": 754
}

=====

(5)
{
  "formula": "Li16Ag6Au7",
  "functional": "PBE",
  "state": "optimized geometry",
  "lattice": [[-3.6928, -0.7550, 8.0076], [1.3024, -7.3198, 4.8013], [5.0611, 0.3082, 7.2539]],
  "species": ["Au", "Au", "Au", "Au", "Au", "Au", "Au", "Li", "Li", "Li", "Li", "Li", "Li", "Li", "Li", "Li", "Li", "Li", "Li", "Li", "Li", "Li", "Li", "Ag", "Ag", "Ag", "Ag", "Ag", "Ag"],
  "frac_coords": [[0.5000, 0.5000, 0.0000], [0.0000, 0.0000, 0.0000], [0.0000, 0.5000, 0.0000], [0.5000, 0.0000, 0.0000], [0.5000, 0.0000, 0.5000], [0.0000, 0.5000, 0.5000], [0.0000, 0.0000, 0.5000], [0.3753, 0.8741, 0.3753], [0.6247, 0.6247, 0.6247], [0.3929, 0.8690, 0.8690], [0.8690, 0.8690, 0.3929], [0.1310, 0.6071, 0.1310], [0.1310, 0.1310, 0.1310], [0.8690, 0.8690, 0.8690], [0.6247, 0.1259, 0.6247], [0.6071, 0.1310, 0.1310], [0.8741, 0.3753, 0.3753], [0.3753, 0.3753, 0.3753], [0.3753, 0.3753, 0.8741], [0.8690, 0.3929, 0.8690], [0.1259, 0.6247, 0.6247], [0.6247, 0.6247, 0.1259], [0.1310, 0.1310, 0.6071], [0.2430, 0.7570, 0.2430], [0.7570, 0.2430, 0.2430], [0.7570, 0.2430, 0.7570], [0.2430, 0.7570, 0.7570], [0.2430, 0.2430, 0.7570], [0.7570, 0.7570, 0.2430]],
  "delta_e_f_ev_per_atom": -0.36,
  "space_group": "Fm-3m, No. 225",
  "dos_ef_per_ev_fu": 8.1
}

=====

(6)
{
  "formula": "LiPuGa2Pt2",
  "functional": "PBE",
  "state": "optimized geometry",
  "lattice": [[-2.7644, 0.5607, 3.3616], [4.0438, -1.5453, 0.7189], [2.1833, 6.0771, 0.7818]],
  "species": ["Ga", "Ga", "Pt", "Pt", "Li", "Pu"],
  "frac_coords": [[0.6667, 0.3333, 0.6784], [0.3333, 0.6667, 0.3216], [0.3333, 0.6667, 0.7282], [0.6667, 0.3333, 0.2718], [0.0000, 0.0000, 0.5000], [0.0000, 0.0000, 0.0000]],
  "delta_e_f_ev_per_atom": -0.74,
  "space_group": "P-3m1, No. 164",
  "dos_ef_per_ev_fu": 14.5
}